Computed, not measured: a relaxed Rb4Pm3TaS8 crystal at the GGA-PBE level of DFT.

Unit cell a=8.116 b=9.026 c=8.116 alpha=116.73 beta=120.00 gamma=90.00
Each line ends with the local moment (μB).
Fractional positions:
Rb 0.000 0.000 0.500  0.00
Ta 0.000 0.500 0.000  0.92
Pm 0.000 0.500 0.500  0.04
S 0.784 0.310 0.567  0.00
Rb 0.500 0.000 0.000  0.00
S 0.243 0.310 0.026  0.00
Pm 0.500 0.500 0.000  0.04
S 0.784 0.310 0.026  0.00
S 0.216 0.690 0.974  0.00
S 0.266 0.298 0.532  0.00
S 0.757 0.690 0.974  0.00
Pm 0.500 0.500 0.500  0.04
Rb 0.000 0.000 0.000  0.00
Rb 0.500 0.000 0.500  0.00
S 0.734 0.702 0.468  0.00
S 0.216 0.690 0.433  0.00

- Calculated total energy: -87.77 eV for the cell shown
- SG: R-3m (166)
- Magnetization: 1.728 μB per cell
- Crystal system: trigonal